# 1
Material: Ce2RuS
Method: DFT, GGA-PBE
State: relaxed

CIF file:
```
data_Ce2RuS
_chemical_formula_sum 'Ce2 Ru1 S1'
_symmetry_space_group_name_H-M 'P 1'
_symmetry_Int_Tables_number 1
_symmetry_space_group_name_Hall 'P 1'
_cell_length_a 3.892
_cell_length_b 3.892
_cell_length_c 7.559
_cell_angle_alpha 75.08
_cell_angle_beta 75.08
_cell_angle_gamma 60.00
loop_
_atom_site_label
_atom_site_type_symbol
_atom_site_fract_x
_atom_site_fract_y
_atom_site_fract_z
_atom_site_occupancy
Ce1 Ce 0.076 0.076 0.772 1
Ce2 Ce 0.256 0.256 0.233 1
Ru1 Ru 0.670 0.670 0.989 1
S1 S 0.498 0.498 0.506 1
```

## Properties
N(E_F)	8.0	states/eV per cell
mass density	7.25	g cm⁻³
ΔE_f (raw)	-0.958	eV/atom
size of the total moment	0.96	μB per cell
VASP energy	-0.2674	hartree per atom



# 2
Material: CeSbRuS
Method: DFT, GGA-PBE
State: relaxed

CIF file:
```
data_CeSbRuS
_chemical_formula_sum 'Ce2 Sb2 Ru2 S2'
_symmetry_space_group_name_H-M 'P 1'
_symmetry_Int_Tables_number 1
_symmetry_space_group_name_Hall 'P 1'
_cell_length_a 4.510
_cell_length_b 4.510
_cell_length_c 8.603
_cell_angle_alpha 90.00
_cell_angle_beta 90.00
_cell_angle_gamma 90.00
loop_
_atom_site_label
_atom_site_type_symbol
_atom_site_fract_x
_atom_site_fract_y
_atom_site_fract_z
_atom_site_occupancy
Ce1 Ce 0.500 0.000 0.687 1
Ce2 Ce 0.000 0.500 0.313 1
Sb1 Sb 0.000 0.500 0.844 1
Sb2 Sb 0.500 0.000 0.156 1
Ru1 Ru 0.500 0.500 0.000 1
Ru2 Ru 0.000 0.000 0.000 1
S1 S 0.000 0.000 0.500 1
S2 S 0.500 0.500 0.500 1
```

## Properties
N(E_F)	8.3	states/eV per cell
mass density	7.50	g cm⁻³
ΔE_f (raw)	-1.003	eV/atom
size of the total moment	1.25	μB per cell
VASP energy	-0.2524	hartree per atom



# 3
Material: Ce4RuSe2S
Method: DFT, GGA-PBE
State: relaxed

CIF file:
```
data_Ce4RuSe2S
_chemical_formula_sum 'Ce4 Ru1 Se2 S1'
_symmetry_space_group_name_H-M 'P 1'
_symmetry_Int_Tables_number 1
_symmetry_space_group_name_Hall 'P 1'
_cell_length_a 4.045
_cell_length_b 7.254
_cell_length_c 7.151
_cell_angle_alpha 71.75
_cell_angle_beta 90.00
_cell_angle_gamma 90.00
loop_
_atom_site_label
_atom_site_type_symbol
_atom_site_fract_x
_atom_site_fract_y
_atom_site_fract_z
_atom_site_occupancy
Ce1 Ce 0.000 0.730 0.749 1
Ce2 Ce 0.000 0.270 0.251 1
Ce3 Ce 0.500 0.729 0.262 1
Ce4 Ce 0.500 0.271 0.738 1
Ru1 Ru 0.000 0.500 0.500 1
Se1 Se 0.000 0.000 0.000 1
Se2 Se 0.500 0.000 0.500 1
S1 S 0.500 0.500 0.000 1
```

## Properties
N(E_F)	21.0	states/eV per cell
mass density	7.10	g cm⁻³
ΔE_f (raw)	-1.441	eV/atom
size of the total moment	2.99	μB per cell
VASP energy	-0.2556	hartree per atom



# 4
Material: Ce4RuSeS2
Method: DFT, GGA-PBE
State: relaxed

CIF file:
```
data_Ce4RuSeS2
_chemical_formula_sum 'Ce4 Ru1 Se1 S2'
_symmetry_space_group_name_H-M 'P 1'
_symmetry_Int_Tables_number 1
_symmetry_space_group_name_Hall 'P 1'
_cell_length_a 4.004
_cell_length_b 7.075
_cell_length_c 7.157
_cell_angle_alpha 71.77
_cell_angle_beta 90.00
_cell_angle_gamma 90.00
loop_
_atom_site_label
_atom_site_type_symbol
_atom_site_fract_x
_atom_site_fract_y
_atom_site_fract_z
_atom_site_occupancy
Ce1 Ce 0.000 0.752 0.733 1
Ce2 Ce 0.000 0.248 0.267 1
Ce3 Ce 0.500 0.748 0.261 1
Ce4 Ce 0.500 0.252 0.739 1
Ru1 Ru 0.000 0.500 0.500 1
Se1 Se 0.500 0.500 0.000 1
S1 S 0.000 0.000 0.000 1
S2 S 0.500 0.000 0.500 1
```

## Properties
N(E_F)	19.7	states/eV per cell
mass density	6.94	g cm⁻³
ΔE_f (raw)	-1.469	eV/atom
size of the total moment	2.59	μB per cell
VASP energy	-0.2596	hartree per atom



# 5
Material: Ce4SbRu
Method: DFT, GGA-PBE
State: relaxed

CIF file:
```
data_Ce4SbRu
_chemical_formula_sum 'Ce8 Sb2 Ru2'
_symmetry_space_group_name_H-M 'P 1'
_symmetry_Int_Tables_number 1
_symmetry_space_group_name_Hall 'P 1'
_cell_length_a 5.392
_cell_length_b 6.656
_cell_length_c 9.502
_cell_angle_alpha 90.00
_cell_angle_beta 118.45
_cell_angle_gamma 90.00
loop_
_atom_site_label
_atom_site_type_symbol
_atom_site_fract_x
_atom_site_fract_y
_atom_site_fract_z
_atom_site_occupancy
Ce1 Ce 0.687 0.250 0.473 1
Ce2 Ce 0.313 0.750 0.527 1
Ce3 Ce 0.656 0.250 0.875 1
Ce4 Ce 0.344 0.750 0.125 1
Ce5 Ce 0.977 0.036 0.260 1
Ce6 Ce 0.023 0.536 0.740 1
Ce7 Ce 0.977 0.464 0.260 1
Ce8 Ce 0.023 0.964 0.740 1
Sb1 Sb 0.331 0.250 0.085 1
Sb2 Sb 0.669 0.750 0.915 1
Ru1 Ru 0.333 0.250 0.594 1
Ru2 Ru 0.667 0.750 0.406 1
```

## Properties
N(E_F)	28.0	states/eV per cell
mass density	8.68	g cm⁻³
ΔE_f (raw)	-0.461	eV/atom
size of the total moment	2.28	μB per cell
relative energy among the computed polymorphs	0	kJ/mol of formula units
VASP energy	-0.2444	hartree per atom



# 6
Material: CeSbRu
Method: DFT, GGA-PBE
State: relaxed

CIF file:
```
data_CeSbRu
_chemical_formula_sum 'Ce6 Sb6 Ru6'
_symmetry_space_group_name_H-M 'P 1'
_symmetry_Int_Tables_number 1
_symmetry_space_group_name_Hall 'P 1'
_cell_length_a 6.968
_cell_length_b 9.342
_cell_length_c 7.927
_cell_angle_alpha 64.90
_cell_angle_beta 90.00
_cell_angle_gamma 111.90
loop_
_atom_site_label
_atom_site_type_symbol
_atom_site_fract_x
_atom_site_fract_y
_atom_site_fract_z
_atom_site_occupancy
Sb1 Sb 0.016 0.299 0.601 1
Sb2 Sb 0.717 0.701 0.399 1
Sb3 Sb 0.497 0.991 0.254 1
Sb4 Sb 0.506 0.009 0.746 1
Sb5 Sb 0.876 0.678 0.911 1
Sb6 Sb 0.199 0.322 0.089 1
Ru1 Ru 0.388 0.276 0.612 1
Ru2 Ru 0.113 0.724 0.388 1
Ru3 Ru 0.659 0.823 0.025 1
Ru4 Ru 0.836 0.177 0.975 1
Ru5 Ru 0.836 0.177 0.348 1
Ru6 Ru 0.659 0.823 0.652 1
Ce1 Ce 0.098 0.000 0.000 1
Ce2 Ce 0.098 0.000 0.500 1
Ce3 Ce 0.671 0.370 0.321 1
Ce4 Ce 0.301 0.630 0.679 1
Ce5 Ce 0.301 0.630 0.192 1
Ce6 Ce 0.671 0.370 0.808 1
```

## Properties
N(E_F)	19.1	states/eV per cell
mass density	8.49	g cm⁻³
ΔE_f (raw)	-0.560	eV/atom
size of the total moment	0.79	μB per cell
VASP energy	-0.2574	hartree per atom



# 7
Material: CeSbRu
Method: DFT, GGA-PBE
State: relaxed

CIF file:
```
data_CeSbRu
_chemical_formula_sum 'Ce1 Sb1 Ru1'
_symmetry_space_group_name_H-M 'P 1'
_symmetry_Int_Tables_number 1
_symmetry_space_group_name_Hall 'P 1'
_cell_length_a 4.434
_cell_length_b 4.434
_cell_length_c 5.062
_cell_angle_alpha 115.97
_cell_angle_beta 115.97
_cell_angle_gamma 90.00
loop_
_atom_site_label
_atom_site_type_symbol
_atom_site_fract_x
_atom_site_fract_y
_atom_site_fract_z
_atom_site_occupancy
Sb1 Sb 0.270 0.270 0.539 1
Ce1 Ce 0.651 0.651 0.302 1
Ru1 Ru 0.929 0.929 0.859 1
```

## Properties
N(E_F)	5.1	states/eV per cell
mass density	7.71	g cm⁻³
ΔE_f (raw)	-0.080	eV/atom
size of the total moment	0.00	μB per cell
VASP energy	-0.2398	hartree per atom



# 8
Material: Ce2SbRu
Method: DFT, GGA-PBE
State: relaxed

CIF file:
```
data_Ce2SbRu
_chemical_formula_sum 'Ce2 Sb1 Ru1'
_symmetry_space_group_name_H-M 'P 1'
_symmetry_Int_Tables_number 1
_symmetry_space_group_name_Hall 'P 1'
_cell_length_a 4.107
_cell_length_b 4.107
_cell_length_c 7.651
_cell_angle_alpha 74.43
_cell_angle_beta 74.43
_cell_angle_gamma 60.00
loop_
_atom_site_label
_atom_site_type_symbol
_atom_site_fract_x
_atom_site_fract_y
_atom_site_fract_z
_atom_site_occupancy
Sb1 Sb 0.500 0.500 0.500 1
Ce1 Ce 0.263 0.263 0.211 1
Ce2 Ce 0.737 0.737 0.789 1
Ru1 Ru 0.000 0.000 0.000 1
```

## Properties
N(E_F)	4.9	states/eV per cell
mass density	7.86	g cm⁻³
ΔE_f (raw)	-0.549	eV/atom
size of the total moment	0.00	μB per cell
relative energy among the computed polymorphs	64	kJ/mol of formula units
VASP energy	-0.2523	hartree per atom



# 9
Material: Ce8SbRu2
Method: DFT, GGA-PBE
State: relaxed

CIF file:
```
data_Ce8SbRu2
_chemical_formula_sum 'Ce8 Sb1 Ru2'
_symmetry_space_group_name_H-M 'P 1'
_symmetry_Int_Tables_number 1
_symmetry_space_group_name_Hall 'P 1'
_cell_length_a 5.109
_cell_length_b 8.403
_cell_length_c 8.005
_cell_angle_alpha 58.34
_cell_angle_beta 82.73
_cell_angle_gamma 76.06
loop_
_atom_site_label
_atom_site_type_symbol
_atom_site_fract_x
_atom_site_fract_y
_atom_site_fract_z
_atom_site_occupancy
Ce1 Ce 0.934 0.075 0.216 1
Ce2 Ce 0.934 0.291 0.784 1
Ce3 Ce 0.300 0.413 0.000 1
Ce4 Ce 0.500 0.748 0.504 1
Ce5 Ce 0.500 0.252 0.496 1
Ce6 Ce 0.700 0.587 0.000 1
Ce7 Ce 0.066 0.709 0.216 1
Ce8 Ce 0.066 0.925 0.784 1
Sb1 Sb 0.500 0.000 0.000 1
Ru1 Ru 0.000 0.301 0.398 1
Ru2 Ru 0.000 0.699 0.602 1
```

## Properties
N(E_F)	28.7	states/eV per cell
mass density	8.45	g cm⁻³
ΔE_f (raw)	-0.279	eV/atom
size of the total moment	1.46	μB per cell
VASP energy	-0.2446	hartree per atom



# 10
Material: Ce8SbRu6
Method: DFT, GGA-PBE
State: relaxed

CIF file:
```
data_Ce8SbRu6
_chemical_formula_sum 'Ce8 Sb1 Ru6'
_symmetry_space_group_name_H-M 'P 1'
_symmetry_Int_Tables_number 1
_symmetry_space_group_name_Hall 'P 1'
_cell_length_a 7.259
_cell_length_b 7.259
_cell_length_c 7.259
_cell_angle_alpha 90.52
_cell_angle_beta 90.52
_cell_angle_gamma 90.52
loop_
_atom_site_label
_atom_site_type_symbol
_atom_site_fract_x
_atom_site_fract_y
_atom_site_fract_z
_atom_site_occupancy
Ce1 Ce 0.758 0.758 0.758 1
Ce2 Ce 0.242 0.242 0.242 1
Ce3 Ce 0.625 0.938 0.280 1
Ce4 Ce 0.938 0.280 0.625 1
Ce5 Ce 0.280 0.625 0.938 1
Ce6 Ce 0.375 0.062 0.720 1
Ce7 Ce 0.062 0.720 0.375 1
Ce8 Ce 0.720 0.375 0.062 1
Sb1 Sb 0.000 0.000 0.000 1
Ru1 Ru 0.601 0.413 0.756 1
Ru2 Ru 0.413 0.756 0.601 1
Ru3 Ru 0.756 0.601 0.413 1
Ru4 Ru 0.399 0.587 0.244 1
Ru5 Ru 0.587 0.244 0.399 1
Ru6 Ru 0.244 0.399 0.587 1
```

## Properties
N(E_F)	29.4	states/eV per cell
mass density	8.03	g cm⁻³
ΔE_f (raw)	-0.303	eV/atom
size of the total moment	3.62	μB per cell
VASP energy	-0.2739	hartree per atom



# 11
Material: Ce5Sb4Ru
Method: DFT, GGA-PBE
State: relaxed

CIF file:
```
data_Ce5Sb4Ru
_chemical_formula_sum 'Ce5 Sb4 Ru1'
_symmetry_space_group_name_H-M 'P 1'
_symmetry_Int_Tables_number 1
_symmetry_space_group_name_Hall 'P 1'
_cell_length_a 6.289
_cell_length_b 7.592
_cell_length_c 7.592
_cell_angle_alpha 80.12
_cell_angle_beta 65.53
_cell_angle_gamma 65.53
loop_
_atom_site_label
_atom_site_type_symbol
_atom_site_fract_x
_atom_site_fract_y
_atom_site_fract_z
_atom_site_occupancy
Ce1 Ce 0.907 0.361 0.826 1
Ce2 Ce 0.269 0.826 0.639 1
Ce3 Ce 0.734 0.174 0.361 1
Ce4 Ce 0.095 0.639 0.174 1
Ce5 Ce 0.501 0.000 0.000 1
Sb1 Sb 0.413 0.396 0.780 1
Sb2 Sb 0.809 0.780 0.604 1
Sb3 Sb 0.193 0.220 0.396 1
Sb4 Sb 0.589 0.604 0.220 1
Ru1 Ru 0.001 0.000 0.000 1
```

## Properties
N(E_F)	26.4	states/eV per cell
mass density	7.13	g cm⁻³
ΔE_f (raw)	-0.803	eV/atom
size of the total moment	3.88	μB per cell
VASP energy	-0.2332	hartree per atom



# 12
Material: Ce3SbRu
Method: DFT, GGA-PBE
State: relaxed

CIF file:
```
data_Ce3SbRu
_chemical_formula_sum 'Ce6 Sb2 Ru2'
_symmetry_space_group_name_H-M 'P 1'
_symmetry_Int_Tables_number 1
_symmetry_space_group_name_Hall 'P 1'
_cell_length_a 4.464
_cell_length_b 7.990
_cell_length_c 8.415
_cell_angle_alpha 116.51
_cell_angle_beta 90.00
_cell_angle_gamma 90.00
loop_
_atom_site_label
_atom_site_type_symbol
_atom_site_fract_x
_atom_site_fract_y
_atom_site_fract_z
_atom_site_occupancy
Ce1 Ce 0.750 0.652 0.406 1
Ce2 Ce 0.250 0.348 0.594 1
Ce3 Ce 0.750 0.343 0.916 1
Ce4 Ce 0.250 0.966 0.768 1
Ce5 Ce 0.250 0.657 0.084 1
Ce6 Ce 0.750 0.034 0.232 1
Sb1 Sb 0.250 0.309 0.189 1
Sb2 Sb 0.750 0.691 0.811 1
Ru1 Ru 0.250 0.896 0.381 1
Ru2 Ru 0.750 0.104 0.619 1
```

## Properties
N(E_F)	30.7	states/eV per cell
mass density	7.95	g cm⁻³
ΔE_f (raw)	-0.562	eV/atom
size of the total moment	5.81	μB per cell
VASP energy	-0.2500	hartree per atom